The following is a DFT calculation (GGA-PBE) of HoBO3 after structural relaxation.

Structure (CIF):
```
data_HoBO3
_chemical_formula_sum 'Ho1 B1 O3'
_cell_length_a 3.471
_cell_length_b 3.471
_cell_length_c 3.471
_cell_angle_alpha 90.00
_cell_angle_beta 90.00
_cell_angle_gamma 90.00
_space_group_name_H-M_alt 'P m -3 m'
_space_group_IT_number 221
_space_group_name_Hall '-P 4 2 3'
loop_
_atom_site_label
_atom_site_type_symbol
_atom_site_fract_x
_atom_site_fract_y
_atom_site_fract_z
Ho1 Ho 0.000 0.000 0.000
B1 B 0.500 0.500 0.500
O1 O 0.000 0.500 0.500
```

M_tot	0.000	μB/atom
DOS(E_F)	0.00	states/eV per atom
density	8.89	g/cm3
ΔE_f (raw)	-2.2708	eV per atom